Density functional theory data (PBE) for LaErTmLu after structural relaxation.

Structure (CIF):
```
data_LaErTmLu
_cell_length_a 5.6679
_cell_length_b 5.6679
_cell_length_c 5.6679
_cell_angle_alpha 60.00
_cell_angle_beta 60.00
_cell_angle_gamma 60.00
_space_group_name_H-M_alt 'P 1'
_space_group_IT_number 1
_space_group_name_Hall 'P 1'
loop_
_atom_site_label
_atom_site_fract_x
_atom_site_fract_y
_atom_site_fract_z
_atom_site_occupancy
Lu1 0.0000 0.0000 0.0000 1
Tm1 0.5000 0.5000 0.5000 1
Er1 0.7500 0.7500 0.7500 1
La1 0.2500 0.2500 0.2500 1
```

Properties
Total magnetic moment ... 0.001 μB/atom
Formation energy from the elements ... 96 meV per atom
SG ... F-43m (216)

---

Density functional theory data (PBE) for LaErLuZn after structural relaxation.

Structure (CIF):
```
data_LaErLuZn
_cell_length_a 5.3829
_cell_length_b 5.3829
_cell_length_c 5.3829
_cell_angle_alpha 60.00
_cell_angle_beta 60.00
_cell_angle_gamma 60.00
_space_group_name_H-M_alt 'P 1'
_space_group_IT_number 1
_space_group_name_Hall 'P 1'
loop_
_atom_site_label
_atom_site_fract_x
_atom_site_fract_y
_atom_site_fract_z
_atom_site_occupancy
La1 0.2500 0.2500 0.2500 1
Zn1 0.0000 0.0000 0.0000 1
Er1 0.7500 0.7500 0.7500 1
Lu1 0.5000 0.5000 0.5000 1
```

Properties
Total magnetic moment ... 0.000 μB/atom
Formation energy from the elements ... 12 meV per atom
SG ... F-43m (216)